1.
Density functional theory data (GGA-PBE) for a geometry-optimized CsMg3Tl4F12 structure.

As for the density of states at the Fermi level: 14.0 states/eV/f.u.

abc: 8.8737 8.8737 8.8737
angles: 90.00 90.00 90.00
Space group Im-3m (No. 229)
Symmetry-distinct sites (fractional):
Cs 0.0000 0.0000 0.0000 x2
Mg 0.0000 0.0000 0.5000 x6
Tl 0.2500 0.2500 0.2500 x8
F 0.0000 0.0000 0.2918 x12
F 0.0000 0.2500 0.5000 x12

---

2.
Density functional theory data (GGA-PBE) for a geometry-optimized CsMgTlF4 structure.

As for the density of states at the Fermi level: 0.0 states/eV/f.u.

abc: 4.1499 4.1499 15.1714
angles: 90.00 90.00 90.00
Space group I4mm (No. 107)
Symmetry-distinct sites (fractional):
Cs 0.0000 0.0000 0.0000 x2
Mg 0.0000 0.0000 0.6623 x2
Tl 0.0000 0.0000 0.2928 x2
F 0.0000 0.0000 0.5320 x2
F 0.0000 0.0000 0.7950 x2
F 0.0000 0.5000 0.1656 x4

---

3.
Density functional theory data (GGA-PBE) for a geometry-optimized CsMgTl2F5 structure.

As for the density of states at the Fermi level: 0.0 states/eV/f.u.

abc: 4.0569 6.6735 13.2481
angles: 90.00 90.00 90.00
Space group Immm (No. 71)
Symmetry-distinct sites (fractional):
Cs 0.0000 0.0000 0.0000 x2
Mg 0.0000 0.0000 0.5000 x2
Tl 0.0000 0.5000 0.2086 x4
F 0.0000 0.2099 0.3887 x8
F 0.0000 0.5000 0.0000 x2

---

| no. | V (A^3/atom) | DFT total energy (eV/atom) |
| --- | --- | --- |
| 1 | 17.5 | -4.36 |
| 2 | 18.7 | -4.57 |
| 3 | 19.9 | -4.41 |